Record 1
{"formula": "PmGdHo", "functional": "GGA-PBE", "state": "optimized geometry", "lattice": [[3.591, 0.000, 0.000], [-1.796, 3.110, 0.000], [0.000, 0.000, 8.760]], "species": ["Pm", "Gd", "Ho"], "fractional_positions": [[0.000, 0.000, 0.000], [0.667, 0.333, 0.339], [0.333, 0.667, 0.669]], "sg": "P3m1 (156)", "ef_kcal_per_mol_atoms": 0.5}

***

Record 2
{"formula": "NdPtAu", "functional": "GGA-PBE", "state": "optimized geometry", "lattice": [[6.695, 0.000, 0.000], [0.000, 5.606, 0.000], [-2.672, 0.000, 7.170]], "species": ["Nd", "Nd", "Nd", "Nd", "Pt", "Pt", "Pt", "Pt", "Au", "Au", "Au", "Au"], "fractional_positions": [[0.196, 0.124, 0.374], [0.196, 0.376, 0.874], [0.804, 0.624, 0.126], [0.804, 0.876, 0.626], [0.165, 0.643, 0.513], [0.165, 0.857, 0.013], [0.835, 0.143, 0.987], [0.835, 0.357, 0.487], [0.431, 0.587, 0.298], [0.431, 0.913, 0.798], [0.569, 0.087, 0.202], [0.569, 0.413, 0.702]], "de_polymorph_mev_per_atom": 0, "sg": "P2_1/c (14)", "ef_kcal_per_mol_atoms": -20.5}

***

Record 3
{"formula": "Cs2NbTlI6", "functional": "GGA-PBE", "state": "optimized geometry", "lattice": [[0.000, 6.228, 6.228], [6.228, 0.000, 6.228], [6.228, 6.228, 0.000]], "species": ["Cs", "Cs", "Nb", "Tl", "I", "I", "I", "I", "I", "I"], "fractional_positions": [[0.250, 0.250, 0.250], [0.750, 0.750, 0.750], [0.000, 0.000, 0.000], [0.500, 0.500, 0.500], [0.230, 0.230, 0.770], [0.230, 0.770, 0.230], [0.230, 0.770, 0.770], [0.770, 0.230, 0.230], [0.770, 0.230, 0.770], [0.770, 0.770, 0.230]], "e_form_raw_ev_per_atom": -0.89, "sg": "Fm-3m (225)"}

***

Number 1: energy -7.78 eV/atom. Number 2: energy -5.58 eV/atom. Number 3: energy -3.23 eV/atom.